This record from Alexandria describes a relaxed structure of SrZnCd4. The functional is PBE-GGA.

* energy of formation: -6.6 kJ/mol of atoms
* SG: No. 216
* crystal system: cubic
* volume: 25.80 A^3/atom

Cell and atoms, written as POSCAR:
```
SrZnCd4
1.0
0.0000 4.2615 4.2615
4.2615 0.0000 4.2615
4.2615 4.2615 0.0000
Cd Zn Sr
4 1 1
Direct
0.3746 0.3746 0.8763
0.3746 0.8763 0.3746
0.8763 0.3746 0.3746
0.3746 0.3746 0.3746
0.0000 0.0000 0.0000
0.7500 0.7500 0.7500
```

=====

This record from Alexandria describes a relaxed structure of CeTl. The functional is PBE-GGA.

* energy of formation: -18.8 kJ/mol of atoms
* SG: No. 221
* crystal system: cubic
* volume: 29.65 A^3/atom

Cell and atoms, written as POSCAR:
```
CeTl
1.0
-0.3575 -3.8375 0.5947
3.7233 -0.1691 1.1471
-1.1030 0.6730 3.6794
Tl Ce
1 1
Direct
0.0000 0.0000 0.0000
0.5000 0.5000 0.5000
```

=====

This record from Alexandria describes a relaxed structure of SrZnRe3. The functional is PBE-GGA.

* energy of formation: 182.8 kJ/mol of atoms
* SG: No. 221
* crystal system: cubic
* volume: 20.56 A^3/atom

Cell and atoms, written as POSCAR:
```
SrZnRe3
1.0
4.6846 0.0000 0.0000
0.0000 4.6846 0.0000
0.0000 0.0000 4.6846
Zn Re Sr
1 3 1
Direct
0.0000 0.0000 0.0000
0.0000 0.5000 0.0000
0.5000 0.0000 0.0000
0.0000 0.0000 0.5000
0.5000 0.5000 0.5000
```

=====

Repeat the second record exactly.
This record from Alexandria describes a relaxed structure of CeTl. The functional is PBE-GGA.

* energy of formation: -18.8 kJ/mol of atoms
* SG: No. 221
* crystal system: cubic
* volume: 29.65 A^3/atom

Cell and atoms, written as POSCAR:
```
CeTl
1.0
-0.3575 -3.8375 0.5947
3.7233 -0.1691 1.1471
-1.1030 0.6730 3.6794
Tl Ce
1 1
Direct
0.0000 0.0000 0.0000
0.5000 0.5000 0.5000
```

=====

energy of formation of number 2 (CeTl)? -18.8 kJ/mol of atoms

=====

Look up the volume of the third one. 20.56 A^3/atom

=====

What is the energy of formation in the first record? -6.6 kJ/mol of atoms